1.
DFT (meta-GGA SCAN) results for a PBEsol-optimized structure of YMo2As.

Cell and atoms, written as POSCAR:
```
YMo2As
1.0
-1.803 2.016 4.932
1.803 -2.016 4.932
1.803 2.016 -4.932
Y Mo As
1 2 1
Direct
0.000 0.000 0.000
0.251 0.751 0.500
0.749 0.249 0.500
0.500 0.500 0.000
```

Computed properties:
Crystal system   orthorhombic
DFT formation energy   0.14 eV/atom


2.
DFT (meta-GGA SCAN) results for a PBEsol-optimized structure of YMoAs2.

Cell and atoms, written as POSCAR:
```
YMoAs2
1.0
3.200 0.000 0.000
0.000 3.200 0.000
0.000 0.000 6.893
Y Mo As
1 1 2
Direct
0.000 0.000 0.000
0.000 0.000 0.500
0.500 0.500 0.289
0.500 0.500 0.711
```

Computed properties:
Crystal system   tetragonal
DFT formation energy   -0.54 eV/atom


3.
DFT (meta-GGA SCAN) results for a PBEsol-optimized structure of ZnMoAs2.

Cell and atoms, written as POSCAR:
```
ZnMoAs2
1.0
1.468 0.848 9.501
-1.468 0.848 9.501
0.000 -1.695 9.501
Zn Mo As
1 1 2
Direct
0.000 0.000 0.000
0.258 0.258 0.258
0.524 0.524 0.524
0.739 0.739 0.739
```

Computed properties:
Crystal system   trigonal
DFT formation energy   0.24 eV/atom


4.
DFT (meta-GGA SCAN) results for a PBEsol-optimized structure of ZnMo4As.

Cell and atoms, written as POSCAR:
```
ZnMo4As
1.0
0.000 3.655 3.655
3.655 0.000 3.655
3.655 3.655 0.000
Zn Mo As
1 4 1
Direct
0.000 0.000 0.000
0.122 0.626 0.626
0.626 0.122 0.626
0.626 0.626 0.122
0.626 0.626 0.626
0.250 0.250 0.250
```

Computed properties:
Crystal system   cubic
DFT formation energy   0.61 eV/atom


5.
DFT (meta-GGA SCAN) results for a PBEsol-optimized structure of ZrZnMo2As.

Cell and atoms, written as POSCAR:
```
ZrZnMo2As
1.0
4.680 0.000 0.000
0.000 4.680 0.000
0.000 0.000 4.923
Zr Zn Mo As
1 1 2 1
Direct
0.000 0.000 0.000
0.000 0.000 0.500
0.000 0.500 0.000
0.500 0.000 0.000
0.500 0.500 0.500
```

Computed properties:
Crystal system   tetragonal
DFT formation energy   1.89 eV/atom


6.
DFT (meta-GGA SCAN) results for a PBEsol-optimized structure of ZrMo2As2.

Cell and atoms, written as POSCAR:
```
ZrMo2As2
1.0
-2.105 2.105 4.957
2.105 -2.105 4.957
2.105 2.105 -4.957
Zr Mo As
1 2 2
Direct
0.000 0.000 0.000
0.250 0.750 0.500
0.750 0.250 0.500
0.377 0.377 0.000
0.623 0.623 0.000
```

Computed properties:
Crystal system   tetragonal
DFT formation energy   -0.19 eV/atom